[1]
! CsNaTcO4 | the Alexandria database | PBE | relaxed; values from VASP
&SYSTEM
  ibrav = 0, nat = 7, ntyp = 4
/
ATOMIC_SPECIES
O 16.00 O.upf
Tc 98.00 Tc.upf
Cs 132.91 Cs.upf
Na 22.99 Na.upf
CELL_PARAMETERS angstrom
6.379 0.000 0.000
0.000 6.379 0.000
-3.190 -3.190 4.447
ATOMIC_POSITIONS angstrom
O 1.329 3.839 1.210
O 5.050 2.540 1.210
Tc 0.000 3.190 2.224
O 0.650 1.861 3.237
Cs 0.000 0.000 0.000
O -0.650 -1.861 3.237
Na 3.190 3.190 0.000
! SG   I-4, No. 82
! DFT total energy   -6.248 eV per atom

=====

[2]
! GeTePdO6 | the Alexandria database | PBE | relaxed; values from VASP
&SYSTEM
  ibrav = 0, nat = 18, ntyp = 4
/
ATOMIC_SPECIES
O 16.00 O.upf
Ge 72.64 Ge.upf
Pd 106.42 Pd.upf
Te 127.60 Te.upf
CELL_PARAMETERS angstrom
-4.765 -1.860 0.180
2.325 0.649 -4.513
3.446 -8.782 0.512
ATOMIC_POSITIONS angstrom
O -0.043 -8.756 0.533
O 2.060 -8.028 -1.137
O 1.307 -0.974 -1.597
Ge 0.183 -7.610 -1.001
O 2.704 -2.784 -2.681
Ge 0.823 -2.382 -2.821
O 0.560 -3.713 -4.191
Pd 0.000 0.000 0.000
O -0.301 -9.018 -2.224
O 1.049 -1.236 -4.354
O -1.697 -7.209 -1.140
O 0.373 -3.624 -1.417
O 0.446 -6.279 0.369
O 0.633 -6.368 -2.404
O -1.053 -1.964 -2.685
Te -1.540 -3.219 -1.257
Pd 1.723 -4.391 0.256
Te 2.547 -6.773 -2.565
! SG   P-31c, No. 163
! DFT total energy   -5.681 eV per atom

=====

[3]
! Rb6AuBr2 | the Alexandria database | PBE | relaxed; values from VASP
&SYSTEM
  ibrav = 0, nat = 9, ntyp = 3
/
ATOMIC_SPECIES
Rb 85.47 Rb.upf
Br 79.90 Br.upf
Au 196.97 Au.upf
CELL_PARAMETERS angstrom
-3.766 -3.019 -1.450
7.653 -5.356 0.033
-4.943 0.561 11.673
ATOMIC_POSITIONS angstrom
Rb -2.919 -3.189 5.465
Rb -3.589 0.099 9.119
Rb -0.312 -4.014 0.411
Rb -0.743 -3.801 9.845
Br 2.999 -4.434 1.442
Rb 1.863 -4.625 4.791
Au -2.471 0.280 5.836
Br -4.054 -3.381 8.814
Rb 2.534 -7.913 1.137
! SG   C2/m, No. 12
! DFT total energy   -2.185 eV per atom

=====

Number 1: total magnetization 1.0 μB per formula unit. Number 2: total magnetization 2.0 μB per formula unit. Number 3: total magnetization 0.0 μB per formula unit.